Entry from Alexandria via LeMat-Bulk: crystalline KCeMg2I8 at its relaxed geometry (PBE).

Cell: 7.5918 7.2049 9.0754 Å, 89.97 89.97 89.57°
Atoms (fractional coordinates):
Ce (0.0000, 0.0000, 0.0000)
I (0.8213, 0.2630, 0.7694)
I (0.1787, 0.7370, 0.2306)
I (0.8211, 0.2627, 0.2305)
I (0.3629, 0.2782, 0.5001)
I (0.6563, 0.7291, 0.0000)
I (0.6371, 0.7218, 0.4999)
I (0.3437, 0.2709, 0.0000)
I (0.1789, 0.7373, 0.7695)
K (0.0000, 0.0000, 0.5000)
Mg (0.5000, 0.4999, 0.7397)
Mg (0.5000, 0.5001, 0.2603)

Properties
- Crystal system: monoclinic
- Formation energy from raw total energies: -1.131 eV per atom
- Uncorrected energy: -3.017 eV per atom
- Space-group type: P2/m (10)
- N(E_F): 7.66 states/eV/cell

Entry from Alexandria via LeMat-Bulk: crystalline KNaCe2I8 at its relaxed geometry (PBE).

Cell: 8.2544 8.2544 9.2029 Å, 90.00 90.00 120.00°
Atoms (fractional coordinates):
I (0.9353, 0.6335, 0.8354)
I (0.6335, 0.6983, 0.1646)
I (0.3665, 0.3017, 0.8354)
I (0.0647, 0.3665, 0.1646)
I (0.6667, 0.3333, 0.4224)
I (0.3333, 0.6667, 0.5776)
I (0.3017, 0.9353, 0.1646)
I (0.6983, 0.0647, 0.8354)
Na (0.0000, 0.0000, 0.0000)
K (0.0000, 0.0000, 0.5000)
Ce (0.3333, 0.6667, 0.9082)
Ce (0.6667, 0.3333, 0.0918)

Properties
- Crystal system: trigonal
- Formation energy from raw total energies: -1.287 eV per atom
- Uncorrected energy: -3.510 eV per atom
- Space-group type: P-3 (147)
- N(E_F): 15.75 states/eV/cell

Entry from Alexandria via LeMat-Bulk: crystalline KNaCeI5 at its relaxed geometry (PBE).

Cell: 9.0508 9.0508 11.5760 Å, 99.73 99.73 116.32°
Atoms (fractional coordinates):
I (0.0247, 0.6764, 0.8824)
I (0.9148, 0.0852, 0.7500)
I (0.3979, 0.2410, 0.0401)
I (0.3236, 0.9753, 0.6176)
I (0.6021, 0.7590, 0.9599)
I (0.6764, 0.0247, 0.3824)
I (0.7590, 0.6021, 0.4599)
I (0.2410, 0.3979, 0.5401)
I (0.0852, 0.9148, 0.2500)
I (0.9753, 0.3236, 0.1176)
Ce (0.0000, 0.0000, 0.5000)
Ce (0.0000, 0.0000, 0.0000)
Na (0.7030, 0.2970, 0.2500)
Na (0.2970, 0.7030, 0.7500)
K (0.5905, 0.4095, 0.7500)
K (0.4095, 0.5905, 0.2500)

Properties
- Crystal system: monoclinic
- Formation energy from raw total energies: -1.327 eV per atom
- Uncorrected energy: -3.340 eV per atom
- Space-group type: C2/c (15)
- N(E_F): 16.60 states/eV/cell